A geometry-optimized MgTaFePb structure. Source: the Open Quantum Materials Database, functional PBE.

a = 6.5301 Å, b = 6.5301 Å, c = 6.5301 Å
α = 90.00°, β = 90.00°, γ = 90.00°
Last column: nearest neighbours and their distance in Å.
Sites, in units of the cell vectors:
Mg (0.0000, 0.0000, 0.0000)  4 Ta 2.83, 4 Pb 2.83
Mg (0.0000, 0.5000, 0.5000)  4 Ta 2.83, 4 Pb 2.83
Mg (0.5000, 0.0000, 0.5000)  4 Ta 2.83, 4 Pb 2.83
Mg (0.5000, 0.5000, 0.0000)  4 Ta 2.83, 4 Pb 2.83
Ta (0.2500, 0.2500, 0.7500)  4 Fe 2.83, 4 Mg 2.83
Ta (0.2500, 0.7500, 0.2500)  4 Fe 2.83, 4 Mg 2.83
Ta (0.7500, 0.2500, 0.2500)  4 Fe 2.83, 4 Mg 2.83
Ta (0.7500, 0.7500, 0.7500)  4 Fe 2.83, 4 Mg 2.83
Fe (0.0000, 0.0000, 0.5000)  4 Ta 2.83, 4 Pb 2.83
Fe (0.0000, 0.5000, 0.0000)  4 Ta 2.83, 4 Pb 2.83
Fe (0.5000, 0.0000, 0.0000)  4 Ta 2.83, 4 Pb 2.83
Fe (0.5000, 0.5000, 0.5000)  4 Pb 2.83, 4 Ta 2.83
Pb (0.2500, 0.2500, 0.2500)  4 Fe 2.83, 4 Mg 2.83
Pb (0.2500, 0.7500, 0.7500)  4 Fe 2.83, 4 Mg 2.83
Pb (0.7500, 0.2500, 0.7500)  4 Fe 2.83, 4 Mg 2.83
Pb (0.7500, 0.7500, 0.2500)  4 Fe 2.83, 4 Mg 2.83

- DFT total energy: -5.82 eV per atom
- Size of the total moment: 0.93 μB per formula unit

---

A geometry-optimized BeIn2Cu5 structure. Source: the Open Quantum Materials Database, functional PBE.

a = 4.2691 Å, b = 4.2691 Å, c = 6.0391 Å
α = 90.00°, β = 90.00°, γ = 90.00°
Last column: nearest neighbours and their distance in Å.
Sites, in units of the cell vectors:
Be (0.0000, 0.0000, 0.0000)  8 Cu 2.58
In (0.0000, 0.0000, 0.5000)  8 Cu 2.65
In (0.5000, 0.5000, 0.0000)  8 Cu 2.58
Cu (0.0000, 0.5000, 0.2408)  4 In 2.58-2.65, 2 Be 2.58, 2 Cu 2.65
Cu (0.0000, 0.5000, 0.7592)  4 In 2.58-2.65, 2 Be 2.58, 2 Cu 2.65
Cu (0.5000, 0.0000, 0.2408)  4 In 2.58-2.65, 2 Be 2.58, 2 Cu 2.65
Cu (0.5000, 0.0000, 0.7592)  4 In 2.58-2.65, 2 Be 2.58, 2 Cu 2.65
Cu (0.5000, 0.5000, 0.5000)  8 Cu 2.65

- DFT total energy: -3.37 eV per atom

---

A geometry-optimized ZnIr7 structure. Source: the Open Quantum Materials Database, functional PBE.

a = 2.7424 Å, b = 2.7424 Å, c = 43.4846 Å
α = 90.00°, β = 90.00°, γ = 90.00°
Last column: nearest neighbours and their distance in Å.
Sites, in units of the cell vectors:
Zn (0.2500, 0.2500, 0.1696)  4 Ir 2.67, 4 Zn 2.74
Zn (0.7500, 0.7500, 0.8304)  4 Ir 2.67, 4 Zn 2.74
Ir (0.2500, 0.2500, 0.2557)  12 Ir 2.72-2.74
Ir (0.2500, 0.2500, 0.3450)  12 Ir 2.74-2.75
Ir (0.2500, 0.2500, 0.4337)  12 Ir 2.73-2.74
Ir (0.2500, 0.2500, 0.5221)  12 Ir 2.73-2.74
Ir (0.2500, 0.2500, 0.6105)  12 Ir 2.73-2.74
Ir (0.2500, 0.2500, 0.6999)  12 Ir 2.74-2.75
Ir (0.2500, 0.2500, 0.7882)  4 Zn 2.67, 8 Ir 2.72-2.74
Ir (0.7500, 0.7500, 0.2118)  4 Zn 2.67, 8 Ir 2.72-2.74
Ir (0.7500, 0.7500, 0.3001)  12 Ir 2.74-2.75
Ir (0.7500, 0.7500, 0.3895)  12 Ir 2.73-2.74
Ir (0.7500, 0.7500, 0.4779)  12 Ir 2.73-2.74
Ir (0.7500, 0.7500, 0.5663)  12 Ir 2.73-2.74
Ir (0.7500, 0.7500, 0.6550)  12 Ir 2.74-2.75
Ir (0.7500, 0.7500, 0.7443)  12 Ir 2.72-2.74

- Energy of formation from the pure elements: 0.03 eV/atom
- DFT total energy: -7.87 eV per atom
- Size of the total moment: 0.00 μB per formula unit

---

A geometry-optimized HoErCo2Pb structure. Source: the Open Quantum Materials Database, functional PBE.

a = 3.8175 Å, b = 3.8150 Å, c = 14.0720 Å
α = 90.00°, β = 90.00°, γ = 90.00°
Last column: nearest neighbours and their distance in Å.
Sites, in units of the cell vectors:
Ho (0.0000, 0.0000, 0.0000)  6 Co 2.85-2.88
Ho (0.0000, 0.5000, 0.5000)  6 Co 2.85-2.88
Er (0.0000, 0.0000, 0.2826)  6 Co 2.85-2.87
Er (0.0000, 0.5000, 0.7826)  6 Co 2.85-2.87
Co (0.5000, 0.0000, 0.4348)  2 Co 2.28
Co (0.5000, 0.0000, 0.8466)  2 Co 2.28
Co (0.5000, 0.5000, 0.3466)  2 Co 2.28
Co (0.5000, 0.5000, 0.9348)  2 Co 2.28
Pb (0.5000, 0.0000, 0.6415)  2 Co 2.89-2.91
Pb (0.5000, 0.5000, 0.1415)  2 Co 2.89-2.91

- DFT total energy: -5.76 eV per atom
- Size of the total moment: 1.41 μB per formula unit

---

A geometry-optimized TmLuAsO structure. Source: the Open Quantum Materials Database, functional PBE.

a = 4.2753 Å, b = 4.2753 Å, c = 8.5179 Å
α = 90.00°, β = 90.00°, γ = 90.00°
Last column: nearest neighbours and their distance in Å.
Sites, in units of the cell vectors:
Tm (0.2500, 0.2500, 0.0994)  4 O 2.30
Tm (0.7500, 0.7500, 0.9006)  4 O 2.30
Lu (0.2500, 0.7500, 0.5000)  4 As 2.76, 4 Lu 3.02
Lu (0.7500, 0.2500, 0.5000)  4 As 2.76, 4 Lu 3.02
As (0.2500, 0.2500, 0.7048)  4 Lu 2.76
As (0.7500, 0.7500, 0.2952)  4 Lu 2.76
O (0.2500, 0.7500, 0.0000)  4 Tm 2.30
O (0.7500, 0.2500, 0.0000)  4 Tm 2.30

- DFT total energy: -6.55 eV per atom
- Size of the total moment: 0.00 μB per formula unit

---

A geometry-optimized SrMoPt structure. Source: the Open Quantum Materials Database, functional PBE.

a = 6.7790 Å, b = 6.7790 Å, c = 6.7790 Å
α = 90.00°, β = 90.00°, γ = 90.00°
Last column: nearest neighbours and their distance in Å.
Sites, in units of the cell vectors:
Sr (0.0000, 0.0000, 0.0000)  4 Pt 2.94
Sr (0.0000, 0.5000, 0.5000)  4 Pt 2.94
Sr (0.5000, 0.0000, 0.5000)  4 Pt 2.94
Sr (0.5000, 0.5000, 0.0000)  4 Pt 2.94
Mo (0.0000, 0.0000, 0.5000)  4 Pt 2.94
Mo (0.0000, 0.5000, 0.0000)  4 Pt 2.94
Mo (0.5000, 0.0000, 0.0000)  4 Pt 2.94
Mo (0.5000, 0.5000, 0.5000)  4 Pt 2.94
Pt (0.2500, 0.2500, 0.7500)  4 Mo 2.94, 4 Sr 2.94
Pt (0.2500, 0.7500, 0.2500)  4 Mo 2.94, 4 Sr 2.94
Pt (0.7500, 0.2500, 0.2500)  4 Mo 2.94, 4 Sr 2.94
Pt (0.7500, 0.7500, 0.7500)  4 Mo 2.94, 4 Sr 2.94

- DFT total energy: -5.56 eV per atom
- Size of the total moment: 3.73 μB per formula unit

---

A geometry-optimized SrCuMoIr structure. Source: the Open Quantum Materials Database, functional PBE.

a = 6.6444 Å, b = 6.6444 Å, c = 6.6444 Å
α = 90.00°, β = 90.00°, γ = 90.00°
Last column: nearest neighbours and their distance in Å.
Sites, in units of the cell vectors:
Sr (0.0000, 0.0000, 0.0000)  4 Ir 2.88, 4 Cu 2.88
Sr (0.0000, 0.5000, 0.5000)  4 Cu 2.88, 4 Ir 2.88
Sr (0.5000, 0.0000, 0.5000)  4 Cu 2.88, 4 Ir 2.88
Sr (0.5000, 0.5000, 0.0000)  4 Cu 2.88, 4 Ir 2.88
Cu (0.2500, 0.2500, 0.7500)  4 Mo 2.88, 4 Sr 2.88
Cu (0.2500, 0.7500, 0.2500)  4 Mo 2.88, 4 Sr 2.88
Cu (0.7500, 0.2500, 0.2500)  4 Mo 2.88, 4 Sr 2.88
Cu (0.7500, 0.7500, 0.7500)  4 Mo 2.88, 4 Sr 2.88
Mo (0.0000, 0.0000, 0.5000)  4 Cu 2.88, 4 Ir 2.88
Mo (0.0000, 0.5000, 0.0000)  4 Cu 2.88, 4 Ir 2.88
Mo (0.5000, 0.0000, 0.0000)  4 Cu 2.88, 4 Ir 2.88
Mo (0.5000, 0.5000, 0.5000)  4 Cu 2.88, 4 Ir 2.88
Ir (0.2500, 0.2500, 0.2500)  4 Mo 2.88, 4 Sr 2.88
Ir (0.2500, 0.7500, 0.7500)  4 Mo 2.88, 4 Sr 2.88
Ir (0.7500, 0.2500, 0.7500)  4 Mo 2.88, 4 Sr 2.88
Ir (0.7500, 0.7500, 0.2500)  4 Mo 2.88, 4 Sr 2.88

- DFT total energy: -5.68 eV per atom
- Size of the total moment: 0.05 μB per formula unit

---

A geometry-optimized Rb2AgHgF6 structure. Source: the Open Quantum Materials Database, functional PBE.

a = 6.2563 Å, b = 6.2563 Å, c = 6.2563 Å
α = 60.00°, β = 60.00°, γ = 60.00°
Last column: nearest neighbours and their distance in Å.
Sites, in units of the cell vectors:
Rb (0.2500, 0.2500, 0.2500)  12 F 3.13
Rb (0.7500, 0.7500, 0.7500)  12 F 3.13
Ag (0.0000, 0.0000, 0.0000)  6 F 2.19
Hg (0.5000, 0.5000, 0.5000)  6 F 2.23
F (0.2479, 0.2479, 0.7521)  1 Ag 2.19, 1 Hg 2.23
F (0.2479, 0.7521, 0.2479)  1 Ag 2.19, 1 Hg 2.23
F (0.2479, 0.7521, 0.7521)  1 Ag 2.19, 1 Hg 2.23
F (0.7521, 0.2479, 0.2479)  1 Ag 2.19, 1 Hg 2.23
F (0.7521, 0.2479, 0.7521)  1 Ag 2.19, 1 Hg 2.23
F (0.7521, 0.7521, 0.2479)  1 Ag 2.19, 1 Hg 2.23

- DFT total energy: -3.52 eV per atom